Compound: Y3Er2ScP2Os
Source: OQMD
Functional: PBE-GGA
Structure: relaxed

Summary:
Size of the total moment (Bohr magnetons per cell): 0.0
Space-group type: Amm2 (38)
VASP energy (eV per atom): -7.116

Lattice parameters (Å, degrees): 4.1060 7.6108 7.6108 119.64 90.00 90.00
Sites, in units of the cell vectors:
Sc 0.5000 0.2484 0.2484
Y 0.0000 0.4076 0.0019
P 0.5000 0.6581 0.3312
P 0.5000 0.3312 0.6581
Y 0.0000 0.0019 0.4076
Er 0.5000 0.7543 0.9982
Er 0.5000 0.9982 0.7543
Y 0.0000 0.5787 0.5787
Os 0.0000 0.0216 0.0216